Model w:
CsNaI: relaxed, PBE.

Cell lengths 5.0578, 5.0578, 7.9654 Å; angles 108.51, 108.51, 90.00 degrees
With the nearest neighbours (Å) after each atom.
Sites, in units of the cell vectors:
Cs 0.9901 0.9901 0.9801  4 I 3.77, 1 Na 4.22
I 0.5736 0.5736 0.1471  4 Cs 3.77, 1 Na 4.09
Na 0.2864 0.2864 0.5727  1 I 4.09, 1 Cs 4.22

Results
V   182 Å³ per cell
Symmetry   I4mm (107)


Model x:
CsNaI: relaxed, PBE.

Cell lengths 5.4785, 11.8153, 5.3288 Å; angles 90.00, 90.00, 90.00 degrees
With the nearest neighbours (Å) after each atom.
Sites, in units of the cell vectors:
Cs 0.0000 0.1755 0.6148  5 I 3.83-3.96
Cs 0.5000 0.8245 0.1148  5 I 3.83-3.96
Na 0.0000 0.5637 0.6188  1 I 3.27
Na 0.5000 0.4363 0.1188  1 I 3.27
I 0.0000 0.8403 0.6148  1 Na 3.27
I 0.5000 0.1597 0.1148  1 Na 3.27

Results
V   345 Å³ per cell
Symmetry   Pmn2_1 (31)


Which of them is the most stable, and which is the least stable? model x and model w, in that order.


Model w:
CsNaI: relaxed, PBE.

Cell lengths 8.6234, 4.6395, 10.4573 Å; angles 90.00, 114.44, 90.00 degrees
With the nearest neighbours (Å) after each atom.
Sites, in units of the cell vectors:
Cs 0.5886 0.0000 0.7297  4 I 3.91-3.92
Cs 0.3382 0.0000 0.2271  4 I 4.02
Na 0.9443 0.0000 0.4415  4 I 3.20
Na 0.7873 0.5000 0.1246  2 Na 3.81, 2 I 4.06-4.09
I 0.2179 0.5000 0.4867  2 Na 3.20
I 0.7181 0.5000 0.4886  2 Na 3.20

Results
V   381 Å³ per cell
Symmetry   Pm (6)


Model x:
CsNaI: relaxed, PBE.

Cell lengths 8.3340, 5.1831, 17.4053 Å; angles 90.00, 111.31, 90.00 degrees
With the nearest neighbours (Å) after each atom.
Sites, in units of the cell vectors:
Cs 0.5712 0.0000 0.1477  4 I 3.83-3.94, 1 Na 4.27
Cs 0.5712 0.5000 0.6477  4 I 3.83-3.94, 1 Na 4.27
Cs 0.1737 0.0000 0.8116  3 I 3.78-4.08
Cs 0.1737 0.5000 0.3116  3 I 3.78-4.08
Na 0.0253 0.0000 0.0830  2 Na 3.68
Na 0.0253 0.5000 0.5830  2 Na 3.68
Na 0.7404 0.0000 0.4529  3 I 3.13-3.29
Na 0.7404 0.5000 0.9529  3 I 3.13-3.29
I 0.3843 0.0000 0.4759  1 Na 3.13
I 0.3843 0.5000 0.9759  1 Na 3.13
I 0.6996 0.0000 0.8306  2 Na 3.29
I 0.6996 0.5000 0.3306  2 Na 3.29

Results
V   700 Å³ per cell
Symmetry   Cm (8)


Which of them is the most stable, and which is the least stable? model x and model w, in that order.